No. 1
Below is an optimized crystal structure of SmHgAu2, with properties calculated at the GGA-PBE level.

Computed properties:
DOS at the Fermi energy (states/eV/cell): 2.516
Magnetization (μB per formula unit): 0.00
Energy above the most stable polymorph in this dataset (meV/atom): 178
Formation energy (eV per formula unit): -1.662
Space group: R3m (160)
Calculated volume (Å³ per cell): 105

Lattice parameters (Å, degrees): 4.287 4.287 7.072 72.36 72.36 60.00
Sites, in units of the cell vectors:
Sm  0.668  0.668  0.996
Hg  0.498  0.498  0.506
Au  0.087  0.087  0.740
Au  0.247  0.247  0.258


No. 2
Below is an optimized crystal structure of Sm3Hg2Au2, with properties calculated at the GGA-PBE level.

Computed properties:
DOS at the Fermi energy (states/eV/cell): 5.256
Magnetization (μB per formula unit): 0.00
Formation energy (eV per formula unit): -3.978
Space group: P-1 (2)
Calculated volume (Å³ per cell): 191

Lattice parameters (Å, degrees): 5.117 5.163 8.489 90.07 97.81 120.16
Sites, in units of the cell vectors:
Sm  0.000  0.000  0.000
Sm  0.572  0.285  0.676
Sm  0.428  0.715  0.324
Hg  0.711  0.356  0.153
Hg  0.289  0.644  0.847
Au  0.122  0.064  0.356
Au  0.878  0.936  0.644


No. 3
Below is an optimized crystal structure of Sm3HgAu4, with properties calculated at the GGA-PBE level.

Computed properties:
DOS at the Fermi energy (states/eV/cell): 8.034
Magnetization (μB per formula unit): 0.00
Energy above the most stable polymorph in this dataset (meV/atom): 0
Formation energy (eV per formula unit): -5.417
Space group: P4/mmm (123)
Calculated volume (Å³ per cell): 380

Lattice parameters (Å, degrees): 5.040 7.479 10.078 90.00 90.00 90.00
Sites, in units of the cell vectors:
Au  0.500  0.757  0.000
Au  0.500  0.757  0.500
Au  0.500  0.243  0.000
Au  0.500  0.243  0.500
Au  0.000  0.757  0.750
Au  0.000  0.757  0.250
Au  0.000  0.243  0.250
Au  0.000  0.243  0.750
Hg  0.000  0.500  0.000
Hg  0.000  0.500  0.500
Sm  0.000  0.000  0.000
Sm  0.000  0.000  0.500
Sm  0.500  0.000  0.750
Sm  0.500  0.000  0.250
Sm  0.500  0.500  0.750
Sm  0.500  0.500  0.250


No. 4
Below is an optimized crystal structure of Sm3HgAu, with properties calculated at the GGA-PBE level.

Computed properties:
DOS at the Fermi energy (states/eV/cell): 9.341
Magnetization (μB per formula unit): 0.00
Energy above the most stable polymorph in this dataset (meV/atom): 146
Formation energy (eV per formula unit): -1.687
Space group: Amm2 (38)
Calculated volume (Å³ per cell): 311

Lattice parameters (Å, degrees): 3.950 9.350 9.354 64.36 90.00 90.00
Sites, in units of the cell vectors:
Sm  0.864  0.388  0.830
Sm  0.864  0.001  0.663
Sm  0.863  0.610  0.053
Sm  0.364  0.039  0.091
Sm  0.863  0.778  0.440
Sm  0.363  0.350  0.403
Hg  0.363  0.694  0.746
Hg  0.863  0.194  0.247
Au  0.362  0.694  0.246
Au  0.364  0.194  0.747


No. 5
Below is an optimized crystal structure of Sm4HgAu3, with properties calculated at the GGA-PBE level.

Computed properties:
DOS at the Fermi energy (states/eV/cell): 6.655
Magnetization (μB per formula unit): 0.00
Energy above the most stable polymorph in this dataset (meV/atom): 12
Formation energy (eV per formula unit): -5.688
Space group: Pmmm (47)
Calculated volume (Å³ per cell): 203

Lattice parameters (Å, degrees): 3.692 5.250 10.482 90.00 90.00 90.00
Sites, in units of the cell vectors:
Au  0.500  0.000  0.246
Au  0.500  0.500  0.500
Au  0.500  0.000  0.754
Hg  0.500  0.500  0.000
Sm  0.000  0.000  0.500
Sm  0.000  0.500  0.742
Sm  0.000  0.000  0.000
Sm  0.000  0.500  0.258


No. 6
Below is an optimized crystal structure of Sm4Hg3Au2, with properties calculated at the GGA-PBE level.

Computed properties:
DOS at the Fermi energy (states/eV/cell): 4.880
Magnetization (μB per formula unit): 0.00
Formation energy (eV per formula unit): -4.995
Space group: P-3m1 (164)
Calculated volume (Å³ per cell): 231

Lattice parameters (Å, degrees): 5.140 5.140 10.092 90.01 90.00 60.00
Sites, in units of the cell vectors:
Sm  0.667  0.666  0.884
Sm  0.000  0.000  0.332
Sm  0.000  0.000  0.668
Sm  0.333  0.334  0.116
Hg  0.333  0.333  0.477
Hg  0.000  0.000  0.000
Hg  0.667  0.667  0.523
Au  0.333  0.333  0.813
Au  0.667  0.667  0.187


No. 7
Below is an optimized crystal structure of Sm3HgAu4, with properties calculated at the GGA-PBE level.

Computed properties:
DOS at the Fermi energy (states/eV/cell): 6.292
Magnetization (μB per formula unit): 0.00
Energy above the most stable polymorph in this dataset (meV/atom): 53
Formation energy (eV per formula unit): -4.990
Space group: Immm (71)
Calculated volume (Å³ per cell): 208

Lattice parameters (Å, degrees): 3.881 7.305 8.413 115.73 103.33 90.00
Sites, in units of the cell vectors:
Sm  0.186  0.186  0.372
Sm  0.814  0.814  0.628
Sm  0.000  0.500  0.000
Hg  0.500  0.000  0.000
Au  0.366  0.171  0.732
Au  0.634  0.829  0.268
Au  0.634  0.439  0.268
Au  0.366  0.561  0.732


No. 8
Below is an optimized crystal structure of Sm2Hg2Au, with properties calculated at the GGA-PBE level.

Computed properties:
DOS at the Fermi energy (states/eV/cell): 7.594
Magnetization (μB per formula unit): 0.00
Energy above the most stable polymorph in this dataset (meV/atom): 0
Formation energy (eV per formula unit): -2.646
Space group: C2/m (12)
Calculated volume (Å³ per cell): 261

Lattice parameters (Å, degrees): 4.044 6.004 11.676 93.48 80.03 70.32
Sites, in units of the cell vectors:
Sm  0.664  0.346  0.325
Sm  0.933  0.247  0.886
Sm  0.336  0.654  0.675
Sm  0.067  0.753  0.114
Hg  0.111  0.237  0.541
Hg  0.656  0.792  0.896
Hg  0.889  0.763  0.459
Hg  0.344  0.208  0.104
Au  0.608  0.087  0.698
Au  0.392  0.913  0.302


No. 9
Below is an optimized crystal structure of Sm3Hg2Au6, with properties calculated at the GGA-PBE level.

Computed properties:
DOS at the Fermi energy (states/eV/cell): 5.274
Magnetization (μB per formula unit): 0.00
Formation energy (eV per formula unit): -5.363
Space group: I4/mmm (139)
Calculated volume (Å³ per cell): 258

Lattice parameters (Å, degrees): 4.223 4.223 14.773 98.22 98.22 90.00
Sites, in units of the cell vectors:
Sm  0.000  0.000  0.000
Sm  0.797  0.797  0.594
Sm  0.203  0.203  0.406
Hg  0.450  0.450  0.899
Hg  0.550  0.550  0.101
Au  0.119  0.619  0.238
Au  0.619  0.119  0.238
Au  0.881  0.381  0.762
Au  0.381  0.881  0.762
Au  0.690  0.690  0.381
Au  0.310  0.310  0.619


No. 10
Below is an optimized crystal structure of Sm3Hg2Au7, with properties calculated at the GGA-PBE level.

Computed properties:
DOS at the Fermi energy (states/eV/cell): 5.818
Magnetization (μB per formula unit): 0.00
Formation energy (eV per formula unit): -5.758
Space group: Cmmm (65)
Calculated volume (Å³ per cell): 276

Lattice parameters (Å, degrees): 3.892 4.648 15.420 98.67 90.00 90.00
Sites, in units of the cell vectors:
Sm  0.500  0.500  0.000
Sm  0.500  0.689  0.379
Sm  0.500  0.311  0.621
Hg  0.000  0.863  0.727
Hg  0.000  0.137  0.273
Au  0.000  0.419  0.837
Au  0.000  0.773  0.547
Au  0.000  0.000  0.000
Au  0.000  0.581  0.163
Au  0.500  0.068  0.137
Au  0.500  0.932  0.863
Au  0.000  0.227  0.453


No. 11
Below is an optimized crystal structure of SmHg4Au, with properties calculated at the GGA-PBE level.

Computed properties:
DOS at the Fermi energy (states/eV/cell): 5.854
Magnetization (μB per formula unit): 0.00
Energy above the most stable polymorph in this dataset (meV/atom): 0
Formation energy (eV per formula unit): -1.692
Space group: Cmc2_1 (36)
Calculated volume (Å³ per cell): 297

Lattice parameters (Å, degrees): 5.038 7.143 8.628 90.00 106.98 90.00
Sites, in units of the cell vectors:
Sm  0.827  0.951  0.653
Sm  0.173  0.451  0.347
Hg  0.994  0.250  0.987
Hg  0.006  0.750  0.013
Hg  0.467  0.988  0.934
Hg  0.533  0.488  0.066
Hg  0.808  0.410  0.616
Hg  0.192  0.910  0.384
Hg  0.642  0.132  0.285
Hg  0.358  0.632  0.715
Au  0.680  0.702  0.361
Au  0.320  0.202  0.639


No. 12
Below is an optimized crystal structure of Sm3Hg2Au8, with properties calculated at the GGA-PBE level.

Computed properties:
DOS at the Fermi energy (states/eV/cell): 5.027
Magnetization (μB per formula unit): 0.00
Formation energy (eV per formula unit): -5.085
Space group: R-3m (166)
Calculated volume (Å³ per cell): 317

Lattice parameters (Å, degrees): 5.466 5.466 12.658 77.53 77.53 60.00
Sites, in units of the cell vectors:
Sm  0.000  0.000  0.000
Sm  0.761  0.761  0.716
Sm  0.239  0.239  0.284
Hg  0.608  0.608  0.177
Hg  0.392  0.392  0.823
Au  0.683  0.683  0.951
Au  0.317  0.317  0.049
Au  0.198  0.703  0.396
Au  0.703  0.198  0.396
Au  0.703  0.703  0.396
Au  0.297  0.802  0.604
Au  0.802  0.297  0.604
Au  0.297  0.297  0.604


No. 13
Below is an optimized crystal structure of Sm2HgAu, with properties calculated at the GGA-PBE level.

Computed properties:
DOS at the Fermi energy (states/eV/cell): 2.819
Magnetization (μB per formula unit): 0.00
Energy above the most stable polymorph in this dataset (meV/atom): 13
Formation energy (eV per formula unit): -2.485
Space group: Fm-3m (225)
Calculated volume (Å³ per cell): 104

Lattice parameters (Å, degrees): 5.278 5.278 5.278 60.00 60.00 60.00
Sites, in units of the cell vectors:
Au  0.500  0.500  0.500
Hg  0.000  0.000  0.000
Sm  0.250  0.250  0.250
Sm  0.750  0.750  0.750


No. 14
Below is an optimized crystal structure of Sm2HgAu, with properties calculated at the GGA-PBE level.

Computed properties:
DOS at the Fermi energy (states/eV/cell): 3.686
Magnetization (μB per formula unit): 0.00
Energy above the most stable polymorph in this dataset (meV/atom): 134
Formation energy (eV per formula unit): -2.001
Space group: R3m (160)
Calculated volume (Å³ per cell): 117

Lattice parameters (Å, degrees): 4.109 4.109 8.354 75.76 75.76 60.00
Sites, in units of the cell vectors:
Sm  0.076  0.076  0.771
Sm  0.257  0.257  0.228
Hg  0.500  0.500  0.499
Au  0.666  0.666  0.002


No. 15
Below is an optimized crystal structure of Sm2Hg3Au3, with properties calculated at the GGA-PBE level.

Computed properties:
DOS at the Fermi energy (states/eV/cell): 4.634
Magnetization (μB per formula unit): 0.00
Formation energy (eV per formula unit): -4.212
Space group: R3m (160)
Calculated volume (Å³ per cell): 182

Lattice parameters (Å, degrees): 5.062 5.062 8.699 73.08 73.08 60.00
Sites, in units of the cell vectors:
Sm  0.004  0.004  0.989
Sm  0.496  0.496  0.511
Hg  0.247  0.247  0.258
Hg  0.753  0.753  0.742
Hg  0.625  0.625  0.126
Au  0.126  0.126  0.621
Au  0.877  0.877  0.369
Au  0.372  0.372  0.884


No. 16
Below is an optimized crystal structure of Sm4Hg5Au, with properties calculated at the GGA-PBE level.

Computed properties:
DOS at the Fermi energy (states/eV/cell): 6.871
Magnetization (μB per formula unit): 0.00
Formation energy (eV per formula unit): -4.906
Space group: C2/m (12)
Calculated volume (Å³ per cell): 261

Lattice parameters (Å, degrees): 5.222 6.610 8.280 105.24 108.38 90.00
Sites, in units of the cell vectors:
Sm  0.683  0.303  0.366
Sm  0.090  0.865  0.179
Sm  0.317  0.697  0.634
Sm  0.910  0.135  0.821
Hg  0.288  0.181  0.577
Hg  0.108  0.410  0.216
Hg  0.892  0.590  0.784
Hg  0.500  0.500  0.000
Hg  0.712  0.819  0.423
Au  0.500  0.000  0.000


No. 17
Below is an optimized crystal structure of Sm2Hg2Au, with properties calculated at the GGA-PBE level.

Computed properties:
DOS at the Fermi energy (states/eV/cell): 3.300
Magnetization (μB per formula unit): 0.00
Energy above the most stable polymorph in this dataset (meV/atom): 50
Formation energy (eV per formula unit): -2.394
Space group: Cmmm (65)
Calculated volume (Å³ per cell): 132

Lattice parameters (Å, degrees): 3.520 3.711 10.273 79.59 90.00 90.00
Sites, in units of the cell vectors:
Sm  0.500  0.407  0.187
Sm  0.500  0.593  0.813
Hg  0.000  0.194  0.613
Hg  0.000  0.806  0.387
Au  0.000  0.000  0.000


No. 18
Below is an optimized crystal structure of Sm4Hg5Au2, with properties calculated at the GGA-PBE level.

Computed properties:
DOS at the Fermi energy (states/eV/cell): 8.403
Magnetization (μB per formula unit): 0.00
Formation energy (eV per formula unit): -5.799
Space group: P2/m (10)
Calculated volume (Å³ per cell): 285

Lattice parameters (Å, degrees): 3.666 7.828 9.970 95.14 90.00 90.00
Sites, in units of the cell vectors:
Sm  0.500  0.757  0.565
Sm  0.500  0.180  0.869
Sm  0.500  0.243  0.435
Sm  0.500  0.820  0.131
Hg  0.000  0.544  0.318
Hg  0.000  0.171  0.146
Hg  0.000  0.500  0.000
Hg  0.000  0.829  0.854
Hg  0.000  0.456  0.682
Au  0.000  0.072  0.636
Au  0.000  0.928  0.364


No. 19
Below is an optimized crystal structure of Sm3Hg4Au2, with properties calculated at the GGA-PBE level.

Computed properties:
DOS at the Fermi energy (states/eV/cell): 4.578
Magnetization (μB per formula unit): 0.00
Formation energy (eV per formula unit): -4.892
Space group: C2/m (12)
Calculated volume (Å³ per cell): 217

Lattice parameters (Å, degrees): 4.938 6.038 9.172 116.69 90.00 114.14
Sites, in units of the cell vectors:
Sm  0.670  0.341  0.660
Sm  0.000  0.000  0.000
Sm  0.330  0.659  0.340
Hg  0.717  0.435  0.054
Hg  0.283  0.565  0.946
Hg  0.948  0.897  0.617
Hg  0.052  0.103  0.383
Au  0.606  0.213  0.275
Au  0.394  0.787  0.725


No. 20
Below is an optimized crystal structure of Sm6Hg5Au, with properties calculated at the GGA-PBE level.

Computed properties:
DOS at the Fermi energy (states/eV/cell): 13.906
Magnetization (μB per formula unit): 1.53
Formation energy (eV per formula unit): -6.244
Space group: Cmmm (65)
Calculated volume (Å³ per cell): 322

Lattice parameters (Å, degrees): 5.314 7.601 8.413 90.00 71.59 90.00
Sites, in units of the cell vectors:
Au  0.000  0.000  0.000
Hg  0.668  0.500  0.663
Hg  0.328  0.000  0.344
Hg  0.000  0.500  0.000
Hg  0.672  0.000  0.656
Hg  0.332  0.500  0.337
Sm  0.837  0.753  0.326
Sm  0.837  0.247  0.326
Sm  0.500  0.243  0.000
Sm  0.500  0.757  0.000
Sm  0.163  0.753  0.674
Sm  0.163  0.247  0.674